No. 1
{
  "formula": "Ba2CaZr",
  "functional": "GGA-PBE",
  "state": "relaxed",
  "lattice": [[-5.7426, -2.4864, -2.2617], [-3.2335, -2.3834, 5.3046], [2.7444, 5.9800, -0.9915]],
  "species": ["Ba", "Ba", "Ca", "Zr"],
  "fractional_positions": [[0.2500, 0.7500, 0.5000], [0.0000, 0.0000, 0.0000], [0.5000, 0.5000, 0.0000], [0.7500, 0.2500, 0.5000]],
  "ef_kj_per_mol_fu": 202,
  "de_polymorph_mev_per_atom": 120.6,
  "dos_at_fermi_per_ev_fu": 6.789,
  "space_group": "I-4m2",
  "vol_a3_per_atom": 42.327
}



No. 2
{
  "formula": "Ac6NiPd",
  "functional": "GGA-PBE",
  "state": "relaxed",
  "lattice": [[6.8636, 0.0000, 2.0216], [-3.4166, 6.9194, 3.1583], [0.0304, 0.0000, 8.3382]],
  "species": ["Ac", "Ac", "Ac", "Ac", "Ac", "Ac", "Ni", "Pd"],
  "fractional_positions": [[0.5399, 0.7107, 0.2893], [0.4601, 0.2893, 0.7107], [0.1708, 0.0000, 0.2893], [0.1708, 0.7107, 0.0000], [0.8292, 0.0000, 0.7107], [0.8292, 0.2893, 0.0000], [0.5000, 0.0000, 0.0000], [0.0000, 0.0000, 0.0000]],
  "ef_kj_per_mol_fu": 97,
  "dos_at_fermi_per_ev_fu": 10.698,
  "space_group": "R-3m",
  "vol_a3_per_atom": 49.447
}



No. 3
{
  "formula": "YSbTe2S",
  "functional": "GGA-PBE",
  "state": "relaxed",
  "lattice": [[-4.7409, 1.6468, 2.8053], [-3.2427, -2.7859, -3.8447], [0.2680, -4.9357, 3.3503]],
  "species": ["Y", "Te", "Te", "Sb", "S"],
  "fractional_positions": [[0.0000, 0.0000, 0.0000], [0.0000, 0.5000, 0.0000], [0.5000, 0.0000, 0.0000], [0.0000, 0.0000, 0.5000], [0.5000, 0.5000, 0.5000]],
  "de_polymorph_mev_per_atom": 491.8,
  "dos_at_fermi_per_ev_fu": 6.798,
  "space_group": "P4/mmm",
  "raw_formation_energy_mev_per_atom": 404.6,
  "vol_a3_per_atom": 39.480
}